No. 1
Tb12Sm5Tm: relaxed, GGA-PBE.

DFT formation energy	1.58	eV/f.u.
calculated volume	582	Å³/f.u.
total magnetization	0.0	μB/cell

Unit cell a=11.8572 b=17.1254 c=5.7304 alpha=90.00 beta=90.00 gamma=90.00
With the nearest neighbours (Å) after each atom.
Space group C2/m (No. 12)
Inequivalent atoms, fractional coordinates:
Tb 0.1522 0.1801 0.9998 (multiplicity 8)  5 Tb 3.33-3.68, 4 Sm 3.46-3.64
Tb 0.1531 0.3209 0.5002 (multiplicity 8)  5 Tb 3.34-3.68, 3 Sm 3.47-3.63, 1 Tm 3.57
Tb 0.1994 0.5000 0.9987 (multiplicity 4)  2 Tb 3.09, 2 Sm 3.31
Tb 0.2026 0.0000 0.5013 (multiplicity 4)  2 Tb 3.09, 2 Sm 3.36
Sm 0.0000 0.0000 0.0000 (multiplicity 2)  10 Tb 3.56-3.75, 4 Sm 3.71
Sm 0.0000 0.1372 0.5000 (multiplicity 4)  8 Tb 3.36-3.63, 2 Sm 3.71
Sm 0.0000 0.3650 0.0000 (multiplicity 4)  8 Tb 3.31-3.64, 2 Tm 3.68
Tm 0.0000 0.5000 0.5000 (multiplicity 2)  10 Tb 3.53-3.72, 4 Sm 3.68

No. 2
TmBe17Os: relaxed, GGA-PBE.

DFT formation energy	-2.00	eV/f.u.
calculated volume	173	Å³/f.u.
total magnetization	0.0	μB/cell

Unit cell a=7.4433 b=7.4433 c=10.8230 alpha=90.00 beta=90.00 gamma=120.00
With the nearest neighbours (Å) after each atom.
Space group R3m (No. 160, hexagonal axes)
Inequivalent atoms, fractional coordinates:
Tm 0.0000 0.0000 0.0000 (multiplicity 3)  19 Be 2.68-2.85
Be 0.0000 0.0000 0.5570 (multiplicity 3)  7 Be 2.10-2.29
Be 0.0000 0.0000 0.7510 (multiplicity 3)  4 Be 2.10-2.26
Be 0.0431 0.3679 0.3254 (multiplicity 18)  8 Be 2.10-2.29
Be 0.1695 0.3389 0.4931 (multiplicity 9)  10 Be 2.10-2.29
Be 0.1737 0.3475 0.8378 (multiplicity 9)  9 Be 2.18-2.43
Be 0.1741 0.3482 0.1434 (multiplicity 9)  9 Be 2.13-2.24
Os 0.0000 0.0000 0.3319 (multiplicity 3)  13 Be 2.44-2.69

No. 3
La5Rh2Au: relaxed, GGA-PBE.

DFT formation energy	-5.06	eV/f.u.
calculated volume	224	Å³/f.u.
total magnetization	0.0	μB/cell

Unit cell a=7.9923 b=7.9923 c=14.0504 alpha=90.00 beta=90.00 gamma=90.00
With the nearest neighbours (Å) after each atom.
Space group I4/mcm (No. 140)
Inequivalent atoms, fractional coordinates:
La 0.0000 0.0000 0.0000 (multiplicity 4)  4 Rh 3.10
La 0.1649 0.3351 0.1365 (multiplicity 16)  3 Rh 2.95-3.09
Rh 0.1364 0.3636 0.5000 (multiplicity 8)  8 La 2.95-3.10, 1 Rh 3.08
Au 0.0000 0.0000 0.2500 (multiplicity 4)  10 La 3.38-3.51

No. 4
Tm6Ge3SeS2: relaxed, GGA-PBE.

raw formation energy	-1.389	eV per atom
calculated volume	276	Å³/f.u.
total magnetization	0.0	μB/cell

Unit cell a=17.5367 b=4.0236 c=8.0544 alpha=90.00 beta=103.60 gamma=90.00
With the nearest neighbours (Å) after each atom.
Space group C2/m (No. 12)
Inequivalent atoms, fractional coordinates:
Tm 0.9995 0.0000 0.2409 (multiplicity 4)  3 Ge 2.80-2.83, 1 S 2.85, 2 Se 2.90
Tm 0.1664 0.5000 0.0850 (multiplicity 4)  3 Ge 2.83-2.84, 3 S 2.83-2.86
Tm 0.1703 0.5000 0.5824 (multiplicity 4)  3 Ge 2.80-2.84, 2 S 2.86, 1 Se 2.90
Ge 0.0000 0.5000 0.0000 (multiplicity 2)  6 Tm 2.80-2.84
Ge 0.1655 0.0000 0.3317 (multiplicity 4)  6 Tm 2.80-2.84
Se 0.0000 0.5000 0.5000 (multiplicity 2)  6 Tm 2.90
S 0.1674 0.0000 0.8340 (multiplicity 4)  6 Tm 2.83-2.86

No. 5
SrAsPS2: relaxed, GGA-PBE.

raw formation energy	0.963	eV per atom
calculated volume	185	Å³/f.u.
total magnetization	2.0	μB/cell

Unit cell a=5.5794 b=5.5794 c=5.9545 alpha=90.00 beta=90.00 gamma=90.00
With the nearest neighbours (Å) after each atom.
Space group P4/mmm (No. 123)
Inequivalent atoms, fractional coordinates:
Sr 0.0000 0.0000 0.0000 (multiplicity 1)  4 S 2.79, 2 P 2.98
As 0.5000 0.5000 0.5000 (multiplicity 1)  4 P 3.95, 8 S 4.08
P 0.0000 0.0000 0.5000 (multiplicity 1)  2 Sr 2.98
S 0.0000 0.5000 0.0000 (multiplicity 2)  2 Sr 2.79

No. 6
Sc2Ge4Mo: relaxed, GGA-PBE.

DFT formation energy	-0.19	eV/f.u.
calculated volume	156	Å³/f.u.
total magnetization	0.0	μB/cell

Unit cell a=4.8245 b=4.8245 c=13.4208 alpha=90.00 beta=90.00 gamma=90.00
With the nearest neighbours (Å) after each atom.
Space group I4/mmm (No. 139)
Inequivalent atoms, fractional coordinates:
Sc 0.0000 0.0000 0.1131 (multiplicity 4)  5 Ge 2.64-2.85
Ge 0.0000 0.0000 0.3099 (multiplicity 4)  1 Mo 2.55, 1 Sc 2.64
Ge 0.0000 0.5000 0.0000 (multiplicity 4)  2 Mo 2.41
Mo 0.0000 0.0000 0.5000 (multiplicity 2)  6 Ge 2.41-2.55

No. 7
SnBi2Sb2: relaxed, GGA-PBE.

raw formation energy	0.159	eV per atom
calculated volume	155	Å³/f.u.
total magnetization	0.0	μB/cell

Unit cell a=8.6188 b=8.6188 c=4.1643 alpha=90.00 beta=90.00 gamma=90.00
With the nearest neighbours (Å) after each atom.
Space group P4/mbm (No. 127)
Inequivalent atoms, fractional coordinates:
Sn 0.0000 0.0000 0.0000 (multiplicity 2)  4 Sb 3.25
Bi 0.1529 0.3471 0.5000 (multiplicity 4)  6 Sb 3.11-3.39
Sb 0.1574 0.6574 0.0000 (multiplicity 4)  6 Bi 3.11-3.39, 2 Sn 3.25

No. 8
La3Ru: relaxed, GGA-PBE.

DFT formation energy	-0.29	eV/f.u.
calculated volume	125	Å³/f.u.
total magnetization	0.0	μB/cell

Unit cell a=4.6881 b=5.4430 c=9.7900 alpha=90.00 beta=90.00 gamma=90.00
With the nearest neighbours (Å) after each atom.
Space group Cmmm (No. 65)
Inequivalent atoms, fractional coordinates:
La 0.0000 0.0000 0.0000 (multiplicity 2)  8 La 3.59-3.95
La 0.0000 0.5000 0.3248 (multiplicity 4)  4 Ru 2.90-3.22
Ru 0.0000 0.0000 0.5000 (multiplicity 2)  8 La 2.90-3.22

No. 9
CaHg2Cl: relaxed, GGA-PBE.

raw formation energy	-0.820	eV per atom
calculated volume	110	Å³/f.u.
total magnetization	0.0	μB/cell

Unit cell a=5.8484 b=12.3024 c=4.2195 alpha=90.00 beta=133.73 gamma=90.00
With the nearest neighbours (Å) after each atom.
Space group C2/m (No. 12)
Inequivalent atoms, fractional coordinates:
Ca 0.0000 0.0000 0.0000 (multiplicity 2)  4 Cl 2.92-3.05
Hg 0.2500 0.2500 0.5000 (multiplicity 4)  4 Hg 2.92-3.05
Cl 0.0000 0.5000 0.0000 (multiplicity 2)  4 Ca 2.92-3.05

No. 10
DyTm7Pb2: relaxed, GGA-PBE.

DFT formation energy	2.89	eV/f.u.
calculated volume	375	Å³/f.u.
total magnetization	0.8	μB/cell

Unit cell a=9.0728 b=15.4716 c=5.3419 alpha=90.00 beta=90.00 gamma=90.00
With the nearest neighbours (Å) after each atom.
Space group Cmmm (No. 65)
Inequivalent atoms, fractional coordinates:
Dy 0.0000 0.0000 0.0000 (multiplicity 2)  10 Tm 3.42-3.64
Tm 0.0000 0.2208 0.0000 (multiplicity 4)  2 Pb 2.98
Tm 0.0000 0.5000 0.5000 (multiplicity 2)  2 Pb 3.00
Tm 0.1805 0.1203 0.5000 (multiplicity 8)  2 Pb 3.11-3.31, 2 Tm 3.27-3.45
Pb 0.0000 0.3061 0.5000 (multiplicity 4)  7 Tm 2.98-3.31

No. 11
AcYTmSc: relaxed, GGA-PBE.

DFT formation energy	0.46	eV/f.u.
calculated volume	130	Å³/f.u.
total magnetization	0.0	μB/cell

Unit cell a=8.0506 b=8.0506 c=8.0506 alpha=90.00 beta=90.00 gamma=90.00
With the nearest neighbours (Å) after each atom.
Space group F-43m (No. 216)
Inequivalent atoms, fractional coordinates:
Ac 0.0000 0.0000 0.0000 (multiplicity 4)  4 Sc 3.49, 4 Tm 3.49
Y 0.0000 0.0000 0.5000 (multiplicity 4)  4 Tm 3.49, 4 Sc 3.49
Tm 0.2500 0.2500 0.7500 (multiplicity 4)  4 Ac 3.49, 4 Y 3.49
Sc 0.2500 0.2500 0.2500 (multiplicity 4)  4 Y 3.49, 4 Ac 3.49

No. 12
Li2ZnH: relaxed, GGA-PBE.

electronic total energy	-2.28	eV per atom
calculated volume	48	Å³/f.u.
total magnetization	0.0	μB/cell

Unit cell a=7.8801 b=4.6233 c=2.6249 alpha=90.00 beta=91.16 gamma=90.00
With the nearest neighbours (Å) after each atom.
Space group C2 (No. 5)
Inequivalent atoms, fractional coordinates:
Li 0.1577 0.0000 0.0069 (multiplicity 4)  2 H 1.89-1.90
Zn 0.0000 0.5176 0.5000 (multiplicity 2)  1 H 1.82
H 0.0000 0.1245 0.5000 (multiplicity 2)  1 Zn 1.82, 4 Li 1.89-1.90